Entry 1:
A plane-wave DFT calculation with PBE-GGA was carried out for an optimized crystal structure of Ga2PbBr8.

Cell lengths 9.4368, 10.8663, 11.0218 Å; angles 71.15, 64.65, 64.26 degrees
Element x y z (fractional)
Pb (0.0062, 0.7500, 0.2500)
Pb (0.9938, 0.2500, 0.7500)
Br (0.3785, 0.7609, 0.5378)
Br (0.1386, 0.9727, 0.2442)
Br (0.7232, 0.9635, 0.1516)
Br (0.2286, 0.2014, 0.4602)
Br (0.2768, 0.0365, 0.8484)
Br (0.8903, 0.2986, 0.0398)
Br (0.7714, 0.7986, 0.5398)
Br (0.1618, 0.4635, 0.6516)
Br (0.1097, 0.7014, 0.9602)
Br (0.6772, 0.7391, 0.9622)
Br (0.6445, 0.4727, 0.7442)
Br (0.3555, 0.5273, 0.2558)
Br (0.3228, 0.2609, 0.0378)
Br (0.8382, 0.5365, 0.3484)
Br (0.6215, 0.2391, 0.4622)
Br (0.8614, 0.0273, 0.7558)
Ga (0.8358, 0.8540, 0.9556)
Ga (0.3546, 0.3540, 0.4556)
Ga (0.6454, 0.6460, 0.5444)
Ga (0.1642, 0.1460, 0.0444)

Values from the calculation:
The uncorrected energy is -2.97 eV/atom. The calculation puts the density of states at the Fermi level at 0.000 states/eV/atom. As for the offset from the most stable computed form: 0 meV per atom. Its magnetic moment is 0.0 μB per formula unit. For the formation energy from raw total energies, the calculation gives -0.86 eV/atom. The space-group type is C2/c.

Entry 2:
A plane-wave DFT calculation with PBE-GGA was carried out for an optimized crystal structure of Mg.

Cell lengths 8.2700, 8.2700, 5.2080 Å; angles 90.00, 90.00, 120.00 degrees
Element x y z (fractional)
Mg (0.7589, 0.9491, 0.2500)
Mg (0.8098, 0.7589, 0.7500)
Mg (0.0509, 0.8098, 0.2500)
Mg (0.2411, 0.0509, 0.7500)
Mg (0.1902, 0.2411, 0.2500)
Mg (0.9491, 0.1902, 0.7500)
Mg (0.9047, 0.3820, 0.2500)
Mg (0.5227, 0.9047, 0.7500)
Mg (0.6180, 0.5227, 0.2500)
Mg (0.0953, 0.6180, 0.7500)
Mg (0.4773, 0.0953, 0.2500)
Mg (0.3820, 0.4773, 0.7500)

Values from the calculation:
The uncorrected energy is -1.46 eV/atom. The calculation puts the density of states at the Fermi level at 0.481 states/eV/atom. As for the offset from the most stable computed form: 135 meV per atom. The calculation puts the formation enthalpy at 0 K at 13 kJ/mol of formula units. Its magnetic moment is 0.0 μB per formula unit. The space-group type is P6_3/m.

What did the first record say?
A plane-wave DFT calculation with PBE-GGA was carried out for an optimized crystal structure of Ga2PbBr8.

Cell lengths 9.4368, 10.8663, 11.0218 Å; angles 71.15, 64.65, 64.26 degrees
Element x y z (fractional)
Pb (0.0062, 0.7500, 0.2500)
Pb (0.9938, 0.2500, 0.7500)
Br (0.3785, 0.7609, 0.5378)
Br (0.1386, 0.9727, 0.2442)
Br (0.7232, 0.9635, 0.1516)
Br (0.2286, 0.2014, 0.4602)
Br (0.2768, 0.0365, 0.8484)
Br (0.8903, 0.2986, 0.0398)
Br (0.7714, 0.7986, 0.5398)
Br (0.1618, 0.4635, 0.6516)
Br (0.1097, 0.7014, 0.9602)
Br (0.6772, 0.7391, 0.9622)
Br (0.6445, 0.4727, 0.7442)
Br (0.3555, 0.5273, 0.2558)
Br (0.3228, 0.2609, 0.0378)
Br (0.8382, 0.5365, 0.3484)
Br (0.6215, 0.2391, 0.4622)
Br (0.8614, 0.0273, 0.7558)
Ga (0.8358, 0.8540, 0.9556)
Ga (0.3546, 0.3540, 0.4556)
Ga (0.6454, 0.6460, 0.5444)
Ga (0.1642, 0.1460, 0.0444)

Values from the calculation:
The uncorrected energy is -2.97 eV/atom. The calculation puts the density of states at the Fermi level at 0.000 states/eV/atom. As for the offset from the most stable computed form: 0 meV per atom. Its magnetic moment is 0.0 μB per formula unit. For the formation energy from raw total energies, the calculation gives -0.86 eV/atom. The space-group type is C2/c.

What did the first record say?
A plane-wave DFT calculation with PBE-GGA was carried out for an optimized crystal structure of Ga2PbBr8.

Cell lengths 9.4368, 10.8663, 11.0218 Å; angles 71.15, 64.65, 64.26 degrees
Element x y z (fractional)
Pb (0.0062, 0.7500, 0.2500)
Pb (0.9938, 0.2500, 0.7500)
Br (0.3785, 0.7609, 0.5378)
Br (0.1386, 0.9727, 0.2442)
Br (0.7232, 0.9635, 0.1516)
Br (0.2286, 0.2014, 0.4602)
Br (0.2768, 0.0365, 0.8484)
Br (0.8903, 0.2986, 0.0398)
Br (0.7714, 0.7986, 0.5398)
Br (0.1618, 0.4635, 0.6516)
Br (0.1097, 0.7014, 0.9602)
Br (0.6772, 0.7391, 0.9622)
Br (0.6445, 0.4727, 0.7442)
Br (0.3555, 0.5273, 0.2558)
Br (0.3228, 0.2609, 0.0378)
Br (0.8382, 0.5365, 0.3484)
Br (0.6215, 0.2391, 0.4622)
Br (0.8614, 0.0273, 0.7558)
Ga (0.8358, 0.8540, 0.9556)
Ga (0.3546, 0.3540, 0.4556)
Ga (0.6454, 0.6460, 0.5444)
Ga (0.1642, 0.1460, 0.0444)

Values from the calculation:
The uncorrected energy is -2.97 eV/atom. The calculation puts the density of states at the Fermi level at 0.000 states/eV/atom. As for the offset from the most stable computed form: 0 meV per atom. Its magnetic moment is 0.0 μB per formula unit. For the formation energy from raw total energies, the calculation gives -0.86 eV/atom. The space-group type is C2/c.

Copy entry 2 word for word.
A plane-wave DFT calculation with PBE-GGA was carried out for an optimized crystal structure of Mg.

Cell lengths 8.2700, 8.2700, 5.2080 Å; angles 90.00, 90.00, 120.00 degrees
Element x y z (fractional)
Mg (0.7589, 0.9491, 0.2500)
Mg (0.8098, 0.7589, 0.7500)
Mg (0.0509, 0.8098, 0.2500)
Mg (0.2411, 0.0509, 0.7500)
Mg (0.1902, 0.2411, 0.2500)
Mg (0.9491, 0.1902, 0.7500)
Mg (0.9047, 0.3820, 0.2500)
Mg (0.5227, 0.9047, 0.7500)
Mg (0.6180, 0.5227, 0.2500)
Mg (0.0953, 0.6180, 0.7500)
Mg (0.4773, 0.0953, 0.2500)
Mg (0.3820, 0.4773, 0.7500)

Values from the calculation:
The uncorrected energy is -1.46 eV/atom. The calculation puts the density of states at the Fermi level at 0.481 states/eV/atom. As for the offset from the most stable computed form: 135 meV per atom. The calculation puts the formation enthalpy at 0 K at 13 kJ/mol of formula units. Its magnetic moment is 0.0 μB per formula unit. The space-group type is P6_3/m.